(1)
# GGA-PBE P3Pb, relaxed
# Crystal system ... tetragonal
# Formation energy ... 0.778 eV/atom
# Volume ... 18.9 A^3/atom
data_P3Pb
_cell_length_a 4.7416
_cell_length_b 4.7416
_cell_length_c 4.7416
_cell_angle_alpha 119.67
_cell_angle_beta 119.67
_cell_angle_gamma 90.57
_symmetry_space_group_name_H-M 'P 1'
_symmetry_Int_Tables_number 1
loop_
_symmetry_equiv_pos_as_xyz
'x,y,z'
loop_
_atom_site_label
_atom_site_fract_x
_atom_site_fract_y
_atom_site_fract_z
P1 0.7500 0.2500 0.5000
P2 0.5000 0.5000 0.0000
P3 0.2500 0.7500 0.5000
Pb1 0.0000 0.0000 0.0000



(2)
# GGA-PBE CdPdPt, relaxed
# Crystal system ... orthorhombic
# Formation energy ... -0.201 eV/atom
# Volume ... 17.6 A^3/atom
data_CdPdPt
_cell_length_a 2.8643
_cell_length_b 6.8967
_cell_length_c 10.7162
_cell_angle_alpha 90.00
_cell_angle_beta 90.00
_cell_angle_gamma 90.00
_symmetry_space_group_name_H-M 'P 1'
_symmetry_Int_Tables_number 1
loop_
_symmetry_equiv_pos_as_xyz
'x,y,z'
loop_
_atom_site_label
_atom_site_fract_x
_atom_site_fract_y
_atom_site_fract_z
Pt1 0.2500 0.9898 0.8904
Pt2 0.2500 0.4898 0.6096
Pt3 0.7500 0.0102 0.1096
Pt4 0.7500 0.5102 0.3904
Pd1 0.7500 0.1600 0.5433
Pd2 0.7500 0.6600 0.9567
Pd3 0.2500 0.8400 0.4567
Pd4 0.2500 0.3400 0.0433
Cd1 0.2500 0.1800 0.3058
Cd2 0.7500 0.3200 0.8058
Cd3 0.7500 0.8200 0.6942
Cd4 0.2500 0.6800 0.1942



(3)
# GGA-PBE Ag3I2Br4, relaxed
# Crystal system ... monoclinic
# Volume ... 33.5 A^3/atom
# Electronic total energy ... -2.193 eV per atom
data_Ag3I2Br4
_cell_length_a 8.1926
_cell_length_b 7.4186
_cell_length_c 8.6669
_cell_angle_alpha 66.35
_cell_angle_beta 43.41
_cell_angle_gamma 56.49
_symmetry_space_group_name_H-M 'P 1'
_symmetry_Int_Tables_number 1
loop_
_symmetry_equiv_pos_as_xyz
'x,y,z'
loop_
_atom_site_label
_atom_site_fract_x
_atom_site_fract_y
_atom_site_fract_z
Br1 0.3009 0.6950 0.7058
Br2 0.9959 0.3050 0.7058
Br3 0.6991 0.3050 0.2942
Br4 0.0041 0.6950 0.2942
I1 0.5942 0.0000 0.7899
I2 0.4058 0.0000 0.2101
Ag1 0.0000 0.0000 0.0000
Ag2 0.5000 0.5000 0.0000
Ag3 0.0000 0.5000 0.0000



(4)
# GGA-PBE NbPtN, relaxed
# Crystal system ... orthorhombic
# Volume ... 13.8 A^3/atom
# Electronic total energy ... -8.703 eV per atom
data_NbPtN
_cell_length_a 3.7055
_cell_length_b 3.5696
_cell_length_c 6.2746
_cell_angle_alpha 90.00
_cell_angle_beta 90.00
_cell_angle_gamma 90.00
_symmetry_space_group_name_H-M 'P 1'
_symmetry_Int_Tables_number 1
loop_
_symmetry_equiv_pos_as_xyz
'x,y,z'
loop_
_atom_site_label
_atom_site_fract_x
_atom_site_fract_y
_atom_site_fract_z
Nb1 0.2500 0.2500 0.8317
Nb2 0.7500 0.7500 0.1683
Pt1 0.7500 0.7500 0.5911
Pt2 0.2500 0.2500 0.4089
N1 0.2500 0.7500 0.0088
N2 0.7500 0.2500 0.9912



(5)
# GGA-PBE PmHoHg6, relaxed
# Crystal system ... tetragonal
# Formation energy ... -0.323 eV/atom
# Volume ... 25.0 A^3/atom
data_PmHoHg6
_cell_length_a 4.7147
_cell_length_b 4.7147
_cell_length_c 8.9928
_cell_angle_alpha 90.00
_cell_angle_beta 90.00
_cell_angle_gamma 90.00
_symmetry_space_group_name_H-M 'P 1'
_symmetry_Int_Tables_number 1
loop_
_symmetry_equiv_pos_as_xyz
'x,y,z'
loop_
_atom_site_label
_atom_site_fract_x
_atom_site_fract_y
_atom_site_fract_z
Hg1 0.5000 0.5000 0.0000
Hg2 0.5000 0.0000 0.7448
Hg3 0.0000 0.5000 0.7448
Hg4 0.5000 0.5000 0.5000
Hg5 0.5000 0.0000 0.2552
Hg6 0.0000 0.5000 0.2552
Ho1 0.0000 0.0000 0.5000
Pm1 0.0000 0.0000 0.0000



(6)
# GGA-PBE Nb6Fe16Si7, relaxed
# Crystal system ... cubic
# Volume ... 12.2 A^3/atom
# Electronic total energy ... -8.505 eV per atom
data_Nb6Fe16Si7
_cell_length_a 7.9400
_cell_length_b 7.9400
_cell_length_c 7.9400
_cell_angle_alpha 60.00
_cell_angle_beta 60.00
_cell_angle_gamma 60.00
_symmetry_space_group_name_H-M 'P 1'
_symmetry_Int_Tables_number 1
loop_
_symmetry_equiv_pos_as_xyz
'x,y,z'
loop_
_atom_site_label
_atom_site_fract_x
_atom_site_fract_y
_atom_site_fract_z
Fe1 0.5214 0.8262 0.8262
Fe2 0.1738 0.4786 0.1738
Fe3 0.1402 0.6199 0.6199
Fe4 0.6199 0.6199 0.6199
Fe5 0.8262 0.5214 0.8262
Fe6 0.8262 0.8262 0.5214
Fe7 0.3801 0.3801 0.8598
Fe8 0.3801 0.3801 0.3801
Fe9 0.8262 0.8262 0.8262
Fe10 0.6199 0.1402 0.6199
Fe11 0.6199 0.6199 0.1402
Fe12 0.1738 0.1738 0.4786
Fe13 0.8598 0.3801 0.3801
Fe14 0.4786 0.1738 0.1738
Fe15 0.1738 0.1738 0.1738
Fe16 0.3801 0.8598 0.3801
Nb1 0.7954 0.2046 0.7954
Nb2 0.7954 0.7954 0.2046
Nb3 0.2046 0.7954 0.7954
Nb4 0.2046 0.7954 0.2046
Nb5 0.7954 0.2046 0.2046
Nb6 0.2046 0.2046 0.7954
Si1 0.5000 0.0000 0.0000
Si2 0.5000 0.5000 0.0000
Si3 0.5000 0.0000 0.5000
Si4 0.5000 0.5000 0.5000
Si5 0.0000 0.0000 0.5000
Si6 0.0000 0.5000 0.0000
Si7 0.0000 0.5000 0.5000



(7)
# GGA-PBE EuTm2Th, relaxed
# Crystal system ... trigonal
# Formation energy ... 0.152 eV/atom
# Volume ... 33.4 A^3/atom
data_EuTm2Th
_cell_length_a 3.5340
_cell_length_b 3.5340
_cell_length_c 12.5340
_cell_angle_alpha 81.90
_cell_angle_beta 81.90
_cell_angle_gamma 60.00
_symmetry_space_group_name_H-M 'P 1'
_symmetry_Int_Tables_number 1
loop_
_symmetry_equiv_pos_as_xyz
'x,y,z'
loop_
_atom_site_label
_atom_site_fract_x
_atom_site_fract_y
_atom_site_fract_z
Tm1 0.0925 0.0925 0.7226
Tm2 0.9075 0.9075 0.2774
Th1 0.5000 0.5000 0.5000
Eu1 0.0000 0.0000 0.0000



(8)
# GGA-PBE Cs2Br6ClO, relaxed
# Crystal system ... tetragonal
# Volume ... 35.1 A^3/atom
# Electronic total energy ... -2.341 eV per atom
data_Cs2Br6ClO
_cell_length_a 7.7274
_cell_length_b 7.7274
_cell_length_c 8.0285
_cell_angle_alpha 61.23
_cell_angle_beta 61.23
_cell_angle_gamma 90.00
_symmetry_space_group_name_H-M 'P 1'
_symmetry_Int_Tables_number 1
loop_
_symmetry_equiv_pos_as_xyz
'x,y,z'
loop_
_atom_site_label
_atom_site_fract_x
_atom_site_fract_y
_atom_site_fract_z
Br1 0.7052 0.2948 0.0000
Br2 0.2102 0.2102 0.5796
Br3 0.2948 0.7052 0.0000
Br4 0.7898 0.7898 0.4204
Br5 0.2948 0.2948 0.0000
Br6 0.7052 0.7052 0.0000
Cs1 0.7500 0.2500 0.5000
Cs2 0.2500 0.7500 0.5000
Cl1 0.0000 0.0000 0.0000
O1 0.5000 0.5000 0.0000



Number 1: density 6.58 g/cm³. Number 2: density 12.99 g/cm³. Number 3: density 4.94 g/cm³. Number 4: density 12.08 g/cm³. Number 5: density 12.57 g/cm³. Number 6: density 7.73 g/cm³. Number 7: density 8.96 g/cm³. Number 8: density 3.77 g/cm³.